1.
Entry from the Alexandria database: an optimized crystal structure of RbLiSnSe2 (PBE-GGA).

Cell: 8.287 8.287 9.626 Å, 93.50 93.50 30.10°
Fractional positions:
Rb 0.158 0.158 0.304
Rb 0.842 0.842 0.696
Li 0.200 0.200 0.930
Li 0.800 0.800 0.070
Sn 0.434 0.434 0.235
Sn 0.566 0.566 0.765
Se 0.159 0.159 0.665
Se 0.362 0.362 0.979
Se 0.638 0.638 0.021
Se 0.841 0.841 0.335

Values from the calculation:
As for the crystal system: monoclinic. As for the symmetry: C2/m (12).

---

2.
Entry from the Alexandria database: an optimized crystal structure of Li4SiSe (PBE-GGA).

Cell: 5.135 5.135 5.135 Å, 60.00 60.00 60.00°
Fractional positions:
Li 0.376 0.376 0.376
Li 0.376 0.376 0.871
Li 0.376 0.871 0.376
Li 0.871 0.376 0.376
Si 0.750 0.750 0.750
Se 0.000 0.000 0.000

Values from the calculation:
As for the crystal system: cubic. As for the symmetry: F-43m (216).

---

3.
Entry from the Alexandria database: an optimized crystal structure of KBaIn2 (PBE-GGA).

Cell: 7.139 7.139 7.139 Å, 43.81 43.81 43.81°
Fractional positions:
K 0.000 0.000 0.000
Ba 0.207 0.207 0.207
In 0.426 0.426 0.426
In 0.784 0.784 0.784

Values from the calculation:
As for the crystal system: trigonal. The energy above the most stable polymorph in this dataset is 35 meV/atom. Its energy relative to the elements is -4.39 kcal/mol of atoms. As for the symmetry: R3m (160).

---

4.
Entry from the Alexandria database: an optimized crystal structure of Tb2Pr3Sm6 (PBE-GGA).

Cell: 17.169 17.169 17.169 Å, 163.80 163.80 22.99°
Fractional positions:
Tb 0.046 0.046 0.000
Tb 0.954 0.954 0.000
Pr 0.297 0.297 0.000
Pr 0.500 0.500 0.000
Pr 0.703 0.703 0.000
Sm 0.119 0.619 0.500
Sm 0.194 0.194 0.000
Sm 0.381 0.881 0.500
Sm 0.619 0.119 0.500
Sm 0.806 0.806 0.000
Sm 0.881 0.381 0.500

Values from the calculation:
As for the crystal system: tetragonal. The energy above the most stable polymorph in this dataset is 250 meV/atom. Its energy relative to the elements is 6.08 kcal/mol of atoms. As for the symmetry: I4/mmm (139).

---

5.
Entry from the Alexandria database: an optimized crystal structure of CrTe2Ru (PBE-GGA).

Cell: 7.210 7.210 7.210 Å, 131.98 131.98 70.26°
Fractional positions:
Cr 0.000 0.000 0.000
Cr 0.750 0.250 0.500
Te 0.119 0.625 0.994
Te 0.375 0.369 0.494
Te 0.631 0.125 0.006
Te 0.875 0.881 0.506
Ru 0.250 0.750 0.500
Ru 0.500 0.500 0.000

Values from the calculation:
As for the crystal system: tetragonal. The energy above the most stable polymorph in this dataset is 580 meV/atom. As for the symmetry: I-42d (122).

---

6.
Entry from the Alexandria database: an optimized crystal structure of TcPtBr (PBE-GGA).

Cell: 4.338 4.338 4.338 Å, 60.00 60.00 60.00°
Fractional positions:
Tc 0.000 0.000 0.000
Pt 0.750 0.750 0.750
Br 0.250 0.250 0.250

Values from the calculation:
As for the crystal system: cubic. The energy above the most stable polymorph in this dataset is 186 meV/atom. As for the symmetry: F-43m (216).

---

7.
Entry from the Alexandria database: an optimized crystal structure of AlIn2Pt (PBE-GGA).

Cell: 4.262 4.262 4.272 Å, 90.00 90.00 90.00°
Fractional positions:
Al 0.000 0.000 0.000
In 0.000 0.500 0.500
In 0.500 0.000 0.500
Pt 0.500 0.500 0.000

Values from the calculation:
As for the crystal system: tetragonal. Its energy relative to the elements is -1.34 kcal/mol of atoms. As for the symmetry: P4/mmm (123).

---

8.
Entry from the Alexandria database: an optimized crystal structure of LiBeNiH2 (PBE-GGA).

Cell: 3.361 3.361 4.041 Å, 90.00 90.00 90.00°
Fractional positions:
Li 0.000 0.000 0.000
Be 0.500 0.500 0.000
Ni 0.500 0.500 0.500
H 0.000 0.500 0.500
H 0.500 0.000 0.500

Values from the calculation:
As for the crystal system: tetragonal. As for the symmetry: P4/mmm (123).

---

9.
Entry from the Alexandria database: an optimized crystal structure of Hg3BRh (PBE-GGA).

Cell: 5.226 5.226 5.226 Å, 90.00 90.00 90.00°
Fractional positions:
Hg 0.000 0.000 0.500
Hg 0.000 0.500 0.000
Hg 0.500 0.000 0.000
B 0.500 0.500 0.500
Rh 0.000 0.000 0.000

Values from the calculation:
As for the crystal system: cubic. The energy above the most stable polymorph in this dataset is 393 meV/atom. Its energy relative to the elements is 27.95 kcal/mol of atoms. As for the symmetry: Pm-3m (221).

---

10.
Entry from the Alexandria database: an optimized crystal structure of Nb2CuIr (PBE-GGA).

Cell: 9.483 9.483 9.483 Å, 17.06 17.06 17.06°
Fractional positions:
Nb 0.250 0.250 0.250
Nb 0.750 0.750 0.750
Cu 0.000 0.000 0.000
Ir 0.500 0.500 0.500

Values from the calculation:
As for the crystal system: trigonal. Its energy relative to the elements is -0.01 kcal/mol of atoms. As for the symmetry: R-3m (166).

---

11.
Entry from the Alexandria database: an optimized crystal structure of Sn2OsF (PBE-GGA).

Cell: 4.627 4.627 4.627 Å, 60.00 60.00 60.00°
Fractional positions:
Sn 0.250 0.250 0.250
Sn 0.750 0.750 0.750
Os 0.000 0.000 0.000
F 0.500 0.500 0.500

Values from the calculation:
As for the crystal system: cubic. The energy above the most stable polymorph in this dataset is 0 meV/atom. As for the symmetry: Fm-3m (225).

---

12.
Entry from the Alexandria database: an optimized crystal structure of TmTiN2 (PBE-GGA).

Cell: 5.810 5.810 5.810 Å, 31.42 31.42 31.42°
Fractional positions:
Tm 0.000 0.000 0.000
Ti 0.827 0.827 0.827
N 0.418 0.418 0.418
N 0.573 0.573 0.573

Values from the calculation:
As for the crystal system: trigonal. As for the symmetry: R3m (160).

---

13.
Entry from the Alexandria database: an optimized crystal structure of La2AsO (PBE-GGA).

Cell: 4.958 4.958 4.958 Å, 60.00 60.00 60.00°
Fractional positions:
La 0.250 0.250 0.250
La 0.750 0.750 0.750
As 0.000 0.000 0.000
O 0.500 0.500 0.500

Values from the calculation:
As for the crystal system: cubic. The energy above the most stable polymorph in this dataset is 533 meV/atom. As for the symmetry: Fm-3m (225).

---

14.
Entry from the Alexandria database: an optimized crystal structure of MgZr2Br (PBE-GGA).

Cell: 3.222 5.257 5.468 Å, 90.00 94.53 90.00°
Fractional positions:
Mg 0.000 0.000 0.000
Zr 0.431 0.000 0.487
Zr 0.593 0.500 0.138
Br 0.515 0.500 0.629

Values from the calculation:
As for the crystal system: monoclinic. The energy above the most stable polymorph in this dataset is 286 meV/atom. As for the symmetry: Pm (6).

---

15.
Entry from the Alexandria database: an optimized crystal structure of VSiN3 (PBE-GGA).

Cell: 3.818 3.818 3.818 Å, 90.00 90.00 90.00°
Fractional positions:
V 0.000 0.000 0.000
Si 0.500 0.500 0.500
N 0.000 0.000 0.500
N 0.000 0.500 0.000
N 0.500 0.000 0.000

Values from the calculation:
As for the crystal system: cubic. As for the symmetry: Pm-3m (221).

---

16.
Entry from the Alexandria database: an optimized crystal structure of TaPRh2 (PBE-GGA).

Cell: 6.729 6.729 6.729 Å, 132.43 132.43 69.54°
Fractional positions:
Ta 0.000 0.000 0.000
Ta 0.750 0.250 0.500
P 0.250 0.750 0.500
P 0.500 0.500 0.000
Rh 0.164 0.625 0.039
Rh 0.375 0.414 0.539
Rh 0.586 0.125 0.961
Rh 0.875 0.836 0.461

Values from the calculation:
As for the crystal system: tetragonal. Its energy relative to the elements is -0.47 kcal/mol of atoms. As for the symmetry: I-42d (122).

---

17.
Entry from the Alexandria database: an optimized crystal structure of YCr2Br (PBE-GGA).

Cell: 7.789 7.789 7.789 Å, 28.28 28.28 28.28°
Fractional positions:
Y 0.000 0.000 0.000
Cr 0.454 0.454 0.454
Cr 0.752 0.752 0.752
Br 0.243 0.243 0.243

Values from the calculation:
As for the crystal system: trigonal. The energy above the most stable polymorph in this dataset is 95 meV/atom. As for the symmetry: R3m (160).

---

18.
Entry from the Alexandria database: an optimized crystal structure of PmPuSe3 (PBE-GGA).

Cell: 7.557 7.557 7.557 Å, 135.81 89.16 107.32°
Fractional positions:
Pm 0.000 0.000 0.000
Pm 0.500 0.000 0.500
Pu 0.305 0.555 0.750
Pu 0.695 0.445 0.250
Se 0.112 0.660 0.452
Se 0.292 0.340 0.952
Se 0.359 0.109 0.250
Se 0.641 0.891 0.750
Se 0.708 0.660 0.048
Se 0.888 0.340 0.548

Values from the calculation:
As for the crystal system: orthorhombic. The energy above the most stable polymorph in this dataset is 233 meV/atom. As for the symmetry: Imma (74).

---

19.
Entry from the Alexandria database: an optimized crystal structure of In3Au2Se2 (PBE-GGA).

Cell: 3.945 6.251 7.790 Å, 97.40 90.30 107.33°
Fractional positions:
In 0.000 0.000 0.000
In 0.246 0.488 0.704
In 0.754 0.512 0.296
Au 0.340 0.680 0.068
Au 0.660 0.320 0.932
Se 0.120 0.229 0.385
Se 0.880 0.771 0.615

Values from the calculation:
As for the crystal system: triclinic. As for the symmetry: P-1 (2).

---

20.
Entry from the Alexandria database: an optimized crystal structure of SrZr2Ag2 (PBE-GGA).

Cell: 8.763 8.763 3.104 Å, 90.00 90.00 90.00°
Fractional positions:
Sr 0.000 0.000 0.000
Sr 0.500 0.500 0.000
Zr 0.120 0.380 0.000
Zr 0.380 0.880 0.000
Zr 0.620 0.120 0.000
Zr 0.880 0.620 0.000
Ag 0.175 0.675 0.500
Ag 0.325 0.175 0.500
Ag 0.675 0.825 0.500
Ag 0.825 0.325 0.500

Values from the calculation:
As for the crystal system: tetragonal. The energy above the most stable polymorph in this dataset is 0 meV/atom. Its energy relative to the elements is 3.42 kcal/mol of atoms. As for the symmetry: P4/mbm (127).

---

21.
Entry from the Alexandria database: an optimized crystal structure of AcGa4Pd (PBE-GGA).

Cell: 4.895 4.895 5.838 Å, 90.00 90.00 90.00°
Fractional positions:
Ac 0.000 0.000 0.000
Ga 0.000 0.500 0.500
Ga 0.500 0.000 0.500
Ga 0.500 0.500 0.222
Ga 0.500 0.500 0.778
Pd 0.000 0.000 0.500

Values from the calculation:
As for the crystal system: tetragonal. The energy above the most stable polymorph in this dataset is 206 meV/atom. Its energy relative to the elements is -8.51 kcal/mol of atoms. As for the symmetry: P4/mmm (123).

---

22.
Entry from the Alexandria database: an optimized crystal structure of Ac2CePr3Se6 (PBE-GGA).

Cell: 9.666 9.666 8.698 Å, 102.89 102.89 25.76°
Fractional positions:
Ac 0.165 0.165 0.331
Ac 0.835 0.835 0.669
Ce 0.500 0.500 0.000
Pr 0.168 0.168 0.837
Pr 0.500 0.500 0.500
Pr 0.832 0.832 0.163
Se 0.004 0.004 0.755
Se 0.335 0.335 0.409
Se 0.335 0.335 0.925
Se 0.665 0.665 0.075
Se 0.665 0.665 0.591
Se 0.996 0.996 0.245

Values from the calculation:
As for the crystal system: monoclinic. As for the symmetry: C2/m (12).

---

23.
Entry from the Alexandria database: an optimized crystal structure of TbEr5Al4 (PBE-GGA).

Cell: 3.547 3.547 19.507 Å, 90.00 90.00 90.00°
Fractional positions:
Tb 0.000 0.000 0.000
Er 0.500 0.500 0.129
Er 0.500 0.500 0.315
Er 0.500 0.500 0.500
Er 0.500 0.500 0.685
Er 0.500 0.500 0.871
Al 0.000 0.000 0.222
Al 0.000 0.000 0.407
Al 0.000 0.000 0.593
Al 0.000 0.000 0.778

Values from the calculation:
As for the crystal system: tetragonal. Its energy relative to the elements is -7.24 kcal/mol of atoms. As for the symmetry: P4/mmm (123).

---

24.
Entry from the Alexandria database: an optimized crystal structure of NaLi2Tl7 (PBE-GGA).

Cell: 5.124 5.124 12.222 Å, 90.00 90.00 120.00°
Fractional positions:
Na 0.000 0.000 0.000
Li 0.333 0.667 0.785
Li 0.667 0.333 0.399
Tl 0.000 0.000 0.324
Tl 0.000 0.000 0.722
Tl 0.333 0.667 0.096
Tl 0.333 0.667 0.474
Tl 0.667 0.333 0.176
Tl 0.667 0.333 0.621
Tl 0.667 0.333 0.891

Values from the calculation:
As for the crystal system: trigonal. Its energy relative to the elements is -0.90 kcal/mol of atoms. As for the symmetry: P3m1 (156).

---

25.
Entry from the Alexandria database: an optimized crystal structure of ScTi3I (PBE-GGA).

Cell: 4.962 4.962 4.962 Å, 90.00 90.00 90.00°
Fractional positions:
Sc 0.000 0.000 0.000
Ti 0.000 0.500 0.500
Ti 0.500 0.000 0.500
Ti 0.500 0.500 0.000
I 0.500 0.500 0.500

Values from the calculation:
As for the crystal system: cubic. The energy above the most stable polymorph in this dataset is 0 meV/atom. As for the symmetry: Pm-3m (221).

---

26.
Entry from the Alexandria database: an optimized crystal structure of Sr3MgAl8 (PBE-GGA).

Cell: 10.037 10.037 10.037 Å, 33.33 33.33 33.33°
Fractional positions:
Sr 0.000 0.000 0.000
Sr 0.127 0.127 0.127
Sr 0.623 0.623 0.623
Mg 0.499 0.499 0.499
Al 0.060 0.060 0.561
Al 0.060 0.561 0.060
Al 0.064 0.564 0.564
Al 0.313 0.313 0.313
Al 0.561 0.060 0.060
Al 0.564 0.064 0.564
Al 0.564 0.564 0.064
Al 0.812 0.812 0.812

Values from the calculation:
As for the crystal system: trigonal. Its energy relative to the elements is -4.20 kcal/mol of atoms. As for the symmetry: R3m (160).

---

| no. | E (eV/atom) |
| --- | --- |
| 1 | -3.682 |
| 2 | -2.770 |
| 3 | -2.315 |
| 4 | -4.456 |
| 5 | -5.768 |
| 6 | -5.401 |
| 7 | -3.873 |
| 8 | -3.389 |
| 9 | -1.775 |
| 10 | -8.275 |
| 11 | -5.460 |
| 12 | -8.687 |
| 13 | -6.431 |
| 14 | -5.082 |
| 15 | -7.117 |
| 16 | -8.012 |
| 17 | -6.732 |
| 18 | -7.360 |
| 19 | -3.358 |
| 20 | -4.748 |
| 21 | -3.937 |
| 22 | -5.957 |
| 23 | -4.555 |
| 24 | -2.210 |
| 25 | -5.518 |
| 26 | -3.230 |